# 1
VASP calculation (PBE) on a relaxed AcB6Rh12 crystal. Values from VASP.

Cell and atoms, written as Quantum ESPRESSO input:
```
&SYSTEM
  ibrav = 0, nat = 19, ntyp = 3
/
ATOMIC_SPECIES
Ac 227.00 Ac.upf
B 10.81 B.upf
Rh 102.91 Rh.upf
ATOMIC_POSITIONS angstrom
Ac 0.0000 0.0000 0.0000
B 0.8274 -3.8690 -0.4162
B 1.1182 -1.6745 3.4312
B 3.9108 -0.7206 0.1155
B 4.0763 -3.8816 -0.6545
B 4.3671 -1.6871 3.1928
B 1.2837 -4.8355 2.6612
Rh -0.0233 -5.4539 0.9365
Rh 2.6072 -4.6320 0.8633
Rh 2.7868 -3.2763 3.2400
Rh 0.6826 -2.8690 1.5849
Rh 2.4078 -2.2798 -0.4633
Rh 2.5874 -0.9241 1.9133
Rh 2.8444 -0.9129 4.6582
Rh 4.9707 -1.9673 -1.4297
Rh 5.2179 -0.1022 1.8401
Rh 2.3501 -4.6432 -1.8816
Rh 0.2238 -3.5888 4.2064
Rh 4.5119 -2.6871 1.1917
CELL_PARAMETERS angstrom
-0.8786 -5.9852 -2.4619
6.2770 1.3214 -1.2281
-0.2038 -0.8923 6.4666
```

Properties
Crystal system: trigonal
SG: No. 166
Formation enthalpy at 0 K, meV/atom: -405

# 2
VASP calculation (PBE) on a relaxed PuHgAu crystal. Values from VASP.

Cell and atoms, written as Quantum ESPRESSO input:
```
&SYSTEM
  ibrav = 0, nat = 6, ntyp = 3
/
ATOMIC_SPECIES
Pu 244.00 Pu.upf
Hg 200.59 Hg.upf
Au 196.97 Au.upf
ATOMIC_POSITIONS angstrom
Pu 2.4947 4.4971 1.1163
Pu 0.0000 -2.5609 3.8828
Hg 0.0000 0.7009 4.1873
Hg 2.4947 1.2353 0.8118
Au 2.4947 -0.5150 3.3864
Au 0.0000 2.4511 1.6128
CELL_PARAMETERS angstrom
4.9894 0.0000 0.0000
-2.4947 5.3630 -0.1964
0.0000 -3.4268 5.1956
```

Properties
Distance to the lowest polymorph of the same formula, meV/atom: 0
Crystal system: orthorhombic
SG: No. 71
Formation enthalpy at 0 K, meV/atom: -341

# 3
VASP calculation (PBE) on a relaxed LaBe2BOs crystal. Values from VASP.

Cell and atoms, written as Quantum ESPRESSO input:
```
&SYSTEM
  ibrav = 0, nat = 5, ntyp = 4
/
ATOMIC_SPECIES
Be 9.01 Be.upf
B 10.81 B.upf
Os 190.23 Os.upf
La 138.91 La.upf
ATOMIC_POSITIONS angstrom
Be -1.8587 0.2489 -1.1013
Be -0.9590 0.7715 1.7930
B -0.5720 -1.9371 0.5276
Os 0.0000 0.0000 0.0000
La -3.3897 -0.9166 1.2192
CELL_PARAMETERS angstrom
-1.9180 1.5430 3.5859
-3.7174 0.4978 -2.2026
-1.1440 -3.8741 1.0551
```

Properties
Crystal system: tetragonal
SG: No. 123
Formation enthalpy at 0 K, meV/atom: -167

# 4
VASP calculation (PBE) on a relaxed Hf2H2S crystal. Values from VASP.

Cell and atoms, written as Quantum ESPRESSO input:
```
&SYSTEM
  ibrav = 0, nat = 10, ntyp = 3
/
ATOMIC_SPECIES
Hf 178.49 Hf.upf
H 1.01 H.upf
S 32.06 S.upf
ATOMIC_POSITIONS angstrom
Hf 0.0000 2.6897 6.2444
Hf 1.6771 0.1843 4.6118
Hf 0.0000 2.6760 3.2018
Hf 1.6771 0.1980 1.5693
H 1.6771 2.7369 7.1082
H 1.6771 2.3288 4.6639
H 0.0000 4.8205 3.1498
H 0.0000 0.2452 0.7054
S 0.0000 0.2049 6.6010
S 1.6771 2.6966 1.2127
CELL_PARAMETERS angstrom
3.3542 0.0000 0.0000
0.0000 4.9834 0.0000
-1.6771 0.0000 7.8136
```

Properties
Crystal system: orthorhombic
SG: No. 36
Energy, eV per atom: -6.817

# 5
VASP calculation (PBE) on a relaxed K2CdH6Ir crystal. Values from VASP.

Cell and atoms, written as Quantum ESPRESSO input:
```
&SYSTEM
  ibrav = 0, nat = 10, ntyp = 4
/
ATOMIC_SPECIES
K 39.10 K.upf
Cd 112.41 Cd.upf
H 1.01 H.upf
Ir 192.22 Ir.upf
ATOMIC_POSITIONS angstrom
K 1.0764 0.0000 3.4002
K 4.2389 2.9446 1.7001
Cd 2.6576 0.0000 0.0000
H 4.3935 0.0000 1.4447
H 4.3935 -1.6935 4.3779
H 4.3935 1.6935 4.3779
H 0.9218 4.6381 0.7224
H 0.9218 1.2512 0.7224
H 0.9218 2.9446 3.6555
Ir 0.0000 0.0000 0.0000
CELL_PARAMETERS angstrom
5.3153 0.0000 0.0000
0.0000 5.8893 0.0000
0.0000 -2.9446 5.1002
```

Properties
Crystal system: trigonal
SG: No. 164
Energy, eV per atom: -3.404

# 6
VASP calculation (PBE) on a relaxed Y3Ga7Ag2 crystal. Values from VASP.

Cell and atoms, written as Quantum ESPRESSO input:
```
&SYSTEM
  ibrav = 0, nat = 12, ntyp = 3
/
ATOMIC_SPECIES
Y 88.91 Y.upf
Ga 69.72 Ga.upf
Ag 107.87 Ag.upf
ATOMIC_POSITIONS angstrom
Y 0.2198 1.1963 2.7359
Y 4.6933 1.6687 -1.0959
Y 8.5677 2.1211 0.0396
Ga 5.9233 3.2244 1.4036
Ga 6.3997 4.3227 -0.7560
Ga 2.6786 0.0254 1.4186
Ga 0.0000 0.0000 0.0000
Ga 10.5824 3.7643 -2.4748
Ga 10.7935 4.9590 0.2599
Ga 1.5295 2.5881 0.3877
Ag 3.6134 2.4035 1.9423
Ag 8.7096 5.1436 -1.2946
CELL_PARAMETERS angstrom
-0.9381 3.7574 1.7039
1.3778 -1.3647 3.7679
11.8833 5.1544 -4.8242
```

Properties
Crystal system: monoclinic
SG: No. 10
Formation enthalpy at 0 K, meV/atom: -451

# 7
VASP calculation (PBE) on a relaxed PaAs2I crystal. Values from VASP.

Cell and atoms, written as Quantum ESPRESSO input:
```
&SYSTEM
  ibrav = 0, nat = 4, ntyp = 3
/
ATOMIC_SPECIES
I 126.90 I.upf
As 74.92 As.upf
Pa 231.04 Pa.upf
ATOMIC_POSITIONS angstrom
I 0.0000 0.0000 0.0000
As -5.3394 -0.5048 2.7022
As -4.4378 -6.1560 2.8379
Pa -4.8886 -3.3304 2.7701
CELL_PARAMETERS angstrom
-1.9986 -3.7581 -1.0822
-0.0544 -3.3538 2.8351
-7.7242 0.4511 3.7872
```

Properties
Distance to the lowest polymorph of the same formula, meV/atom: 283
Crystal system: trigonal
SG: No. 166

# 8
VASP calculation (PBE) on a relaxed RbReTe crystal. Values from VASP.

Cell and atoms, written as Quantum ESPRESSO input:
```
&SYSTEM
  ibrav = 0, nat = 12, ntyp = 3
/
ATOMIC_SPECIES
Rb 85.47 Rb.upf
Re 186.21 Re.upf
Te 127.60 Te.upf
ATOMIC_POSITIONS angstrom
Rb 3.5259 4.9456 0.5370
Rb 2.6303 9.3222 1.5298
Rb 9.6261 9.8692 2.8312
Rb -2.9594 3.6045 3.1972
Re 6.2339 9.2173 1.0444
Re -0.0776 5.0505 1.0224
Re 0.6442 3.4996 2.7118
Re 6.0226 9.9740 3.3166
Te -0.3232 2.1721 0.4771
Te 6.4795 12.0957 1.5898
Te 5.7770 7.0956 2.7712
Te 0.8898 6.3780 3.2571
CELL_PARAMETERS angstrom
-5.5337 3.6265 1.4401
0.5105 -0.7941 3.9615
11.6899 10.6413 0.6268
```

Properties
Distance to the lowest polymorph of the same formula, meV/atom: 122
Crystal system: monoclinic
SG: No. 12

no.,spin magnetization (μB per atom),ρ (g/cm3)
1,0.00,10.22
2,1.91,15.71
3,0.00,7.53
4,0.00,9.94
5,0.00,4.04
6,0.00,6.58
7,0.00,6.13
8,0.00,6.25